Density functional theory data (PBE-GGA) for a relaxed PrGdCu4 crystal.

raw total energy: -5.972 eV/atom
DOS at the Fermi energy: 4.43 states/eV/f.u.
space group: No. 216
energy of formation: -0.098 eV per atom

Geometry as POSCAR:
```
PrGdCu4
1.0
0.000 3.780 3.780
3.780 0.000 3.780
3.780 3.780 0.000
Pr Gd Cu
1 1 4
Cartesian
0.000 0.000 0.000
1.890 1.890 1.890
4.718 2.841 2.841
2.841 4.718 2.841
2.841 2.841 4.718
4.718 4.718 4.718
```